SiPb2Au | meta-GGA SCAN | single point on PBEsol structure

Lattice parameters (Å, degrees): 7.1614 7.1614 7.1614 90.00 90.00 90.00
With the nearest neighbours (Å) after each atom.
Space group F-43m (No. 216)
Symmetry-distinct sites (fractional):
Si  0.0000  0.0000  0.0000 [4 per cell]  4 Pb 3.10, 4 Au 3.10
Pb  0.0000  0.0000  0.5000 [4 per cell]  4 Pb 3.10, 4 Au 3.10
Pb  0.2500  0.2500  0.7500 [4 per cell]  4 Pb 3.10, 4 Si 3.10
Au  0.2500  0.2500  0.2500 [4 per cell]  4 Pb 3.10, 4 Si 3.10

## Properties
- Spin magnetization: 0.0 μB/f.u.
- Formation energy (no corrections): 467 meV per atom
- Total energy: -57.216 eV/atom

=====

LiYCl2 | meta-GGA SCAN | single point on PBEsol structure

Lattice parameters (Å, degrees): 3.5661 3.4947 7.4828 90.00 103.73 90.00
With the nearest neighbours (Å) after each atom.
Space group Pm (No. 6)
Symmetry-distinct sites (fractional):
Li  0.0000  0.0000  0.0000 [1 per cell]  5 Cl 2.50
Y  0.6877  0.5000  0.3785 [1 per cell]  3 Cl 2.63-2.67
Cl  0.5077  0.5000  0.0171 [1 per cell]  4 Li 2.50, 1 Y 2.63
Cl  0.8248  0.0000  0.6558 [1 per cell]  1 Li 2.50, 2 Y 2.67

## Properties
- Spin magnetization: 0.0 μB/f.u.
- Formation energy (no corrections): -1651 meV per atom
- Energy relative to the lowest polymorph listed for this composition: 62.9 meV/atom
- Total energy: -13.199 eV/atom

=====

Be2FePt | meta-GGA SCAN | single point on PBEsol structure

Lattice parameters (Å, degrees): 2.7080 2.7080 5.6146 90.00 90.00 90.00
With the nearest neighbours (Å) after each atom.
Space group P4mm (No. 99)
Symmetry-distinct sites (fractional):
Be  0.0000  0.0000  0.0000 [1 per cell]  4 Be 2.23, 4 Pt 2.36, 1 Fe 2.39
Be  0.5000  0.5000  0.2028 [1 per cell]  4 Be 2.23, 4 Fe 2.29
Fe  0.0000  0.0000  0.4259 [1 per cell]  5 Be 2.29-2.39
Pt  0.5000  0.5000  0.7531 [1 per cell]  5 Be 2.36-2.52

## Properties
- Spin magnetization: 2.4 μB/f.u.
- Formation energy: -38.2 kJ per mole of atoms
- Total energy: -24.653 eV/atom

=====

RuPbBr2 | meta-GGA SCAN | single point on PBEsol structure

Lattice parameters (Å, degrees): 3.4452 4.9580 11.7686 90.00 90.00 90.00
With the nearest neighbours (Å) after each atom.
Space group Immm (No. 71)
Symmetry-distinct sites (fractional):
Ru  0.0000  0.0000  0.0000 [2 per cell]  4 Br 2.54
Pb  0.0000  0.0000  0.5000 [2 per cell]  4 Ru 3.02, 4 Br 3.10
Br  0.0000  0.5000  0.3414 [4 per cell]  2 Ru 2.54

## Properties
- Spin magnetization: 0.0 μB/f.u.
- Formation energy (no corrections): -6 meV per atom
- Energy relative to the lowest polymorph listed for this composition: 0.0 meV/atom
- Total energy: -37.388 eV/atom

=====

Na5HfAs3 | meta-GGA SCAN | single point on PBEsol structure

Lattice parameters (Å, degrees): 8.4328 7.4558 16.0618 90.00 121.07 90.00
With the nearest neighbours (Å) after each atom.
Space group P2_1/c (No. 14)
Symmetry-distinct sites (fractional):
Na  0.0026  0.1639  0.0810 [4 per cell]  4 As 2.96-3.08, 1 Na 3.22
Na  0.0820  0.0080  0.7620 [4 per cell]  3 As 2.96-3.17, 1 Na 3.22
Na  0.2623  0.5113  0.0930 [4 per cell]  5 As 3.15-3.34, 4 Na 3.32-3.50, 1 Hf 3.46
Na  0.3199  0.6553  0.7429 [4 per cell]  4 As 2.92-2.95
Na  0.4035  0.0284  0.0842 [4 per cell]  4 As 3.01-3.28, 1 Na 3.28
Hf  0.3395  0.1425  0.4136 [4 per cell]  4 As 2.56-2.62
As  0.0561  0.2433  0.9168 [4 per cell]  1 Hf 2.56
As  0.3416  0.7076  0.9308 [4 per cell]  2 Hf 2.60-2.62
As  0.3540  0.2384  0.2645 [4 per cell]  1 Hf 2.56

## Properties
- Spin magnetization: 0.0 μB/f.u.
- Formation energy: -67.9 kJ per mole of atoms
- Total energy: -16.739 eV/atom

=====

La3GaH | meta-GGA SCAN | single point on PBEsol structure

Lattice parameters (Å, degrees): 5.7066 5.7066 5.7066 90.00 90.00 90.00
With the nearest neighbours (Å) after each atom.
Space group Pm-3m (No. 221)
Symmetry-distinct sites (fractional):
La  0.0000  0.0000  0.5000 [3 per cell]  2 Ga 2.85
Ga  0.0000  0.0000  0.0000 [1 per cell]  6 La 2.85
H  0.5000  0.5000  0.5000 [1 per cell]  12 La 4.04

## Properties
- Spin magnetization: 2.1 μB/f.u.
- Total energy: -29.333 eV/atom